Entry 1:
! PBE MgCoTc, relaxed; values from VASP
! SG = Fmmm
! energy relative to the elements = 1.5 kcal/mol of atoms
! calculated total energy = -6.29 eV per atom
! energy above the lowest structure with this stoichiometry = 0.000 eV per atom
! spin magnetization = 0.0 μB per formula unit
! DOS at the Fermi energy = 2.80 states/eV/f.u.
&SYSTEM
  ibrav = 0, nat = 6, ntyp = 3
/
ATOMIC_SPECIES
Mg 24.30 Mg.upf
Co 58.93 Co.upf
Tc 98.00 Tc.upf
CELL_PARAMETERS angstrom
-2.986 -5.079 -0.516
-1.317 -2.863 3.549
-4.635 -0.633 0.801
ATOMIC_POSITIONS crystal
Mg 0.335 0.200 0.834
Mg 0.335 0.527 0.160
Co 0.835 0.614 0.747
Co 0.835 0.114 0.247
Tc 0.038 0.012 0.645
Tc 0.632 0.715 0.348

---

Entry 2:
! PBE Mg2CoTc, relaxed; values from VASP
! SG = Immm
! energy relative to the elements = 6.4 kcal/mol of atoms
! calculated total energy = -4.89 eV per atom
! energy above the lowest structure with this stoichiometry = 0.205 eV per atom
! spin magnetization = 2.6 μB per formula unit
! DOS at the Fermi energy = 2.40 states/eV/f.u.
&SYSTEM
  ibrav = 0, nat = 4, ntyp = 3
/
ATOMIC_SPECIES
Co 58.93 Co.upf
Mg 24.30 Mg.upf
Tc 98.00 Tc.upf
CELL_PARAMETERS angstrom
0.053 1.965 -4.738
-3.011 1.186 -3.980
-1.115 4.145 -0.246
ATOMIC_POSITIONS crystal
Co 0.250 0.250 0.250
Mg 0.986 0.986 0.014
Mg 0.514 0.514 0.486
Tc 0.750 0.750 0.750

---

Entry 3:
! PBE MgCoTc, relaxed; values from VASP
! SG = P6_3/mmc
! energy relative to the elements = 7.1 kcal/mol of atoms
! calculated total energy = -6.05 eV per atom
! energy above the lowest structure with this stoichiometry = 0.242 eV per atom
! spin magnetization = 0.0 μB per formula unit
! DOS at the Fermi energy = 3.70 states/eV/f.u.
&SYSTEM
  ibrav = 0, nat = 6, ntyp = 3
/
ATOMIC_SPECIES
Mg 24.30 Mg.upf
Co 58.93 Co.upf
Tc 98.00 Tc.upf
CELL_PARAMETERS angstrom
3.671 -2.119 0.000
0.000 4.239 0.000
0.000 0.000 5.437
ATOMIC_POSITIONS crystal
Mg 0.000 0.000 0.000
Mg 0.000 0.000 0.500
Co 0.333 0.667 0.750
Co 0.667 0.333 0.250
Tc 0.333 0.667 0.250
Tc 0.667 0.333 0.750

---

Entry 4:
! PBE Mg2CoTc, relaxed; values from VASP
! SG = Pmmm
! energy relative to the elements = 6.4 kcal/mol of atoms
! calculated total energy = -4.89 eV per atom
! energy above the lowest structure with this stoichiometry = 0.202 eV per atom
! spin magnetization = 2.5 μB per formula unit
! DOS at the Fermi energy = 1.94 states/eV/f.u.
&SYSTEM
  ibrav = 0, nat = 4, ntyp = 3
/
ATOMIC_SPECIES
Co 58.93 Co.upf
Mg 24.30 Mg.upf
Tc 98.00 Tc.upf
CELL_PARAMETERS angstrom
-3.155 -1.609 -0.189
1.859 -3.551 -0.797
0.178 -0.833 4.127
ATOMIC_POSITIONS crystal
Co 0.000 0.500 0.500
Mg 0.000 0.000 0.000
Mg 0.500 0.500 0.000
Tc 0.500 0.000 0.500

---

Entry 5:
! PBE MgCoTc, relaxed; values from VASP
! SG = Cmmm
! energy relative to the elements = 2.2 kcal/mol of atoms
! calculated total energy = -6.26 eV per atom
! energy above the lowest structure with this stoichiometry = 0.030 eV per atom
! spin magnetization = 0.0 μB per formula unit
! DOS at the Fermi energy = 2.55 states/eV/f.u.
&SYSTEM
  ibrav = 0, nat = 6, ntyp = 3
/
ATOMIC_SPECIES
Mg 24.30 Mg.upf
Co 58.93 Co.upf
Tc 98.00 Tc.upf
CELL_PARAMETERS angstrom
-5.546 -0.280 1.582
0.526 -3.730 1.184
2.267 1.293 3.063
ATOMIC_POSITIONS crystal
Mg 0.335 0.721 0.282
Mg 0.335 0.221 0.782
Co 0.971 0.721 0.600
Co 0.699 0.721 0.964
Tc 0.966 0.221 0.097
Tc 0.704 0.221 0.466

---

Entry 6:
! PBE MgCoTc2, relaxed; values from VASP
! SG = R-3m
! energy relative to the elements = 6.4 kcal/mol of atoms
! calculated total energy = -7.08 eV per atom
! spin magnetization = 0.8 μB per formula unit
! DOS at the Fermi energy = 4.59 states/eV/f.u.
&SYSTEM
  ibrav = 0, nat = 4, ntyp = 3
/
ATOMIC_SPECIES
Co 58.93 Co.upf
Mg 24.30 Mg.upf
Tc 98.00 Tc.upf
CELL_PARAMETERS angstrom
9.025 -0.012 -0.007
8.614 2.691 -0.007
8.614 1.309 2.352
ATOMIC_POSITIONS crystal
Co 0.250 0.250 0.250
Mg 0.750 0.750 0.750
Tc 0.993 0.993 0.993
Tc 0.507 0.507 0.507

---

Entry 7:
! PBE MgCoTc, relaxed; values from VASP
! SG = Cm
! energy relative to the elements = 4.8 kcal/mol of atoms
! calculated total energy = -6.15 eV per atom
! energy above the lowest structure with this stoichiometry = 0.142 eV per atom
! spin magnetization = 0.8 μB per formula unit
! DOS at the Fermi energy = 3.25 states/eV/f.u.
&SYSTEM
  ibrav = 0, nat = 6, ntyp = 3
/
ATOMIC_SPECIES
Mg 24.30 Mg.upf
Co 58.93 Co.upf
Tc 98.00 Tc.upf
CELL_PARAMETERS angstrom
4.832 0.021 0.061
-1.663 3.627 0.001
-1.217 -2.753 4.884
ATOMIC_POSITIONS crystal
Mg 0.571 0.297 0.428
Mg 0.052 0.117 0.587
Co 0.554 0.605 0.062
Co 0.530 0.948 0.772
Tc 0.050 0.425 0.204
Tc 0.059 0.801 0.948

---

Entry 8:
! PBE MgCoTc, relaxed; values from VASP
! SG = I4mm
! energy relative to the elements = 2.5 kcal/mol of atoms
! calculated total energy = -6.25 eV per atom
! energy above the lowest structure with this stoichiometry = 0.042 eV per atom
! spin magnetization = 0.5 μB per formula unit
! DOS at the Fermi energy = 2.95 states/eV/f.u.
&SYSTEM
  ibrav = 0, nat = 3, ntyp = 3
/
ATOMIC_SPECIES
Co 58.93 Co.upf
Mg 24.30 Mg.upf
Tc 98.00 Tc.upf
CELL_PARAMETERS angstrom
-3.702 -3.257 -3.207
-1.208 -4.360 -3.759
-0.586 -2.155 1.659
ATOMIC_POSITIONS crystal
Co 0.012 0.012 0.988
Mg 0.341 0.341 0.659
Tc 0.646 0.646 0.354